[1]
# ZrRh2 (PBE, optimized geometry)
data_ZrRh2
_cell_length_a 10.364
_cell_length_b 3.142
_cell_length_c 6.587
_cell_angle_alpha 90.00
_cell_angle_beta 109.43
_cell_angle_gamma 90.00
_space_group_name_H-M_alt 'C 1 2/m 1'
_space_group_IT_number 12
loop_
_space_group_symop_operation_xyz
'x,y,z'
'-x,-y,-z'
'-x,y,-z'
'x,-y,z'
'x+1/2,y+1/2,z'
'-x+1/2,-y+1/2,-z'
'-x+1/2,y+1/2,-z'
'x+1/2,-y+1/2,z'
loop_
_atom_site_label
_atom_site_fract_x
_atom_site_fract_y
_atom_site_fract_z
_atom_site_occupancy
Zr1 0.172 0.000 0.157 1
Rh1 0.043 0.500 0.806 1
Rh2 0.142 0.000 0.544 1
# * calculated total energy: -24.9 eV/f.u.


[2]
# Dy3Si2SbRh9 (PBE, optimized geometry)
data_Dy3Si2SbRh9
_cell_length_a 6.1431
_cell_length_b 6.1431
_cell_length_c 9.1694
_cell_angle_alpha 90.00
_cell_angle_beta 90.00
_cell_angle_gamma 120.00
_space_group_name_H-M_alt 'P -3 m 1'
_space_group_IT_number 164
_space_group_name_Hall '-P 3 2"'
loop_
_atom_site_label
_atom_site_fract_x
_atom_site_fract_y
_atom_site_fract_z
_atom_site_occupancy
Dy1 0.0000 0.0000 0.0000 1
Dy2 0.3333 0.6667 0.7379 1
Si1 0.3333 0.6667 0.1630 1
Sb1 0.0000 0.0000 0.5000 1
Rh1 0.0000 0.5000 0.0000 1
Rh2 0.1465 0.2929 0.2697 1
# * formation energy (no corrections): -0.58 eV/atom


[3]
# Th2Zn5Pd3 (PBE, optimized geometry)
data_Th2Zn5Pd3
_cell_length_a 11.142
_cell_length_b 11.715
_cell_length_c 5.842
_cell_angle_alpha 90.00
_cell_angle_beta 90.00
_cell_angle_gamma 90.00
_space_group_name_H-M_alt 'I b a m'
_space_group_IT_number 72
_space_group_name_Hall '-I 2 2c'
loop_
_atom_site_label
_atom_site_fract_x
_atom_site_fract_y
_atom_site_fract_z
_atom_site_occupancy
Th1 0.225 0.125 0.000 1
Zn1 0.000 0.283 0.250 1
Zn2 0.000 0.500 0.250 1
Zn3 0.111 0.145 0.500 1
Pd1 0.000 0.000 0.250 1
Pd2 0.165 0.389 0.000 1
# * calculated total energy: -41.9 eV/f.u.


| no. | total moment (μB/f.u.) |
| --- | --- |
| 1 | 0.0 |
| 2 | 0.0 |
| 3 | 0.0 |